(P)
VASP calculation (PBE-GGA) on Zn3CoH after structural relaxation.

Structure (CIF):
```
data_Zn3CoH
_cell_length_a 3.8183
_cell_length_b 3.8183
_cell_length_c 3.8183
_cell_angle_alpha 90.00
_cell_angle_beta 90.00
_cell_angle_gamma 90.00
_space_group_name_H-M_alt 'P m -3 m'
_space_group_IT_number 221
_space_group_name_Hall '-P 4 2 3'
loop_
_atom_site_label
_atom_site_fract_x
_atom_site_fract_y
_atom_site_fract_z
Zn1 0.0000 0.0000 0.5000
Co1 0.5000 0.5000 0.5000
H1 0.0000 0.0000 0.0000
```

Output
ρ   7.64 Mg/m³
DOS(E_F)   2.3 states/eV per cell
V   55.7 Å³/f.u.

=====

(Q)
VASP calculation (PBE-GGA) on Zn3CoH after structural relaxation.

Structure (CIF):
```
data_Zn3CoH
_cell_length_a 4.6063
_cell_length_b 4.6063
_cell_length_c 4.6063
_cell_angle_alpha 90.00
_cell_angle_beta 90.00
_cell_angle_gamma 90.00
_space_group_name_H-M_alt 'P m -3 m'
_space_group_IT_number 221
_space_group_name_Hall '-P 4 2 3'
loop_
_atom_site_label
_atom_site_fract_x
_atom_site_fract_y
_atom_site_fract_z
Zn1 0.0000 0.0000 0.5000
Co1 0.0000 0.0000 0.0000
H1 0.5000 0.5000 0.5000
```

Output
ρ   4.35 Mg/m³
DOS(E_F)   3.8 states/eV per cell
V   97.7 Å³/f.u.

=====

Stability, descending: (P), (Q)